A plane-wave DFT calculation with PBE was carried out for Tb2NdSm4Ho after structural relaxation.

Properties
Energy of formation from the pure elements = 0.017 eV per atom

Cell: 6.2340 3.6107 11.9547 Å, 90.00 100.17 90.00°
Space group P2/m (No. 10)
One atom of each set of equivalent atoms:
1 Tb 0.0000 0.0000 0.0000 (multiplicity 1)
2 Tb 0.0000 0.5000 0.5000 (multiplicity 1)
3 Nd 0.5000 0.0000 0.5000 (multiplicity 1)
4 Sm 0.2487 0.5000 0.2476 (multiplicity 2)
5 Sm 0.2506 0.0000 0.7519 (multiplicity 2)
6 Ho 0.5000 0.5000 0.0000 (multiplicity 1)

---

A plane-wave DFT calculation with PBE was carried out for Pm4Tl2TeSe after structural relaxation.

Properties
Formation energy (no corrections) = -7.76 eV per formula unit

Cell: 7.3184 4.2276 8.2854 Å, 90.00 107.14 90.00°
Space group P2/m (No. 10)
One atom of each set of equivalent atoms:
1 Pm 0.2335 0.0000 0.2298 (multiplicity 2)
2 Pm 0.2447 0.5000 0.7625 (multiplicity 2)
3 Tl 0.0000 0.0000 0.5000 (multiplicity 1)
4 Tl 0.5000 0.5000 0.5000 (multiplicity 1)
5 Te 0.5000 0.0000 0.0000 (multiplicity 1)
6 Se 0.0000 0.5000 0.0000 (multiplicity 1)

---

A plane-wave DFT calculation with PBE was carried out for Zn2ReP2 after structural relaxation.

Properties
Energy of formation from the pure elements = 0.621 eV per atom
E above lowest polymorph = 543.7 meV per atom

Cell: 6.7325 6.7325 3.2162 Å, 90.00 90.00 90.00°
Space group P4/mbm (No. 127)
One atom of each set of equivalent atoms:
1 Zn 0.1264 0.3736 0.0000 (multiplicity 4)
2 Re 0.0000 0.0000 0.0000 (multiplicity 2)
3 P 0.1848 0.6848 0.5000 (multiplicity 4)